Entry 1:
Below is an optimized crystal structure of Pr12YIn4O3, with properties calculated at the GGA-PBE level.

* symmetry: Im-3m, No. 229
* ρ: 6.72 g cm⁻³
* uncorrected energy: -5.26 eV per atom

Cell lengths 9.0212, 9.0212, 9.0212 Å; angles 109.47, 109.47, 109.47 degrees
Positions (direct):
Pr1 0.7255 0.0000 0.7255
Pr2 0.2745 0.0000 0.2745
Pr3 0.7255 0.7255 0.0000
Pr4 0.7500 0.5000 0.2500
Pr5 0.0000 0.2745 0.2745
Pr6 0.5000 0.7500 0.2500
Pr7 0.5000 0.2500 0.7500
Pr8 0.7500 0.2500 0.5000
Pr9 0.2500 0.5000 0.7500
Pr10 0.0000 0.7255 0.7255
Pr11 0.2500 0.7500 0.5000
Pr12 0.2745 0.2745 0.0000
In1 0.5000 0.0000 0.0000
In2 0.0000 0.5000 0.0000
In3 0.5000 0.5000 0.5000
In4 0.0000 0.0000 0.5000
O1 0.5000 0.0000 0.5000
O2 0.0000 0.5000 0.5000
O3 0.5000 0.5000 0.0000
Y1 0.0000 0.0000 0.0000

=====

Entry 2:
Below is an optimized crystal structure of PrY2InO, with properties calculated at the GGA-PBE level.

* symmetry: P4/mmm, No. 123
* ρ: 6.41 g cm⁻³
* uncorrected energy: -6.49 eV per atom

Cell lengths 5.0314, 4.8101, 4.8101 Å; angles 90.00, 90.00, 90.00 degrees
Positions (direct):
Y1 0.0000 0.0000 0.5000
Y2 0.0000 0.5000 0.0000
O1 0.0000 0.0000 0.0000
Pr1 0.5000 0.0000 0.0000
In1 0.5000 0.5000 0.5000

=====

Entry 3:
Below is an optimized crystal structure of InPt3O, with properties calculated at the GGA-PBE level.

* symmetry: Pm-3m, No. 221
* ρ: 9.60 g cm⁻³
* uncorrected energy: -3.35 eV per atom
* E above lowest polymorph: 1506.5 meV per atom

Cell lengths 4.9848, 4.9848, 4.9848 Å; angles 90.00, 90.00, 90.00 degrees
Positions (direct):
Pt1 0.0000 0.5000 0.0000
Pt2 0.0000 0.0000 0.5000
Pt3 0.5000 0.0000 0.0000
O1 0.5000 0.5000 0.5000
In1 0.0000 0.0000 0.0000

=====

Entry 4:
Below is an optimized crystal structure of In2PtO2, with properties calculated at the GGA-PBE level.

* symmetry: P4/mbm, No. 127
* ρ: 10.82 g cm⁻³
* uncorrected energy: -4.65 eV per atom
* E above lowest polymorph: 136.9 meV per atom

Cell lengths 6.8403, 6.8403, 2.9951 Å; angles 90.00, 90.00, 90.00 degrees
Positions (direct):
O1 0.6306 0.1306 0.0000
O2 0.8694 0.6306 0.0000
O3 0.3694 0.8694 0.0000
O4 0.1306 0.3694 0.0000
Pt1 0.0000 0.0000 0.0000
Pt2 0.5000 0.5000 0.0000
In1 0.3279 0.1721 0.5000
In2 0.1721 0.6721 0.5000
In3 0.6721 0.8279 0.5000
In4 0.8279 0.3279 0.5000

=====

Entry 5:
Below is an optimized crystal structure of InPt3O, with properties calculated at the GGA-PBE level.

* symmetry: Pm-3m, No. 221
* ρ: 14.52 g cm⁻³
* uncorrected energy: -4.86 eV per atom
* E above lowest polymorph: 0.0 meV per atom

Cell lengths 4.3424, 4.3424, 4.3424 Å; angles 90.00, 90.00, 90.00 degrees
Positions (direct):
In1 0.5000 0.5000 0.5000
Pt1 0.5000 0.0000 0.0000
Pt2 0.0000 0.5000 0.0000
Pt3 0.0000 0.0000 0.5000
O1 0.0000 0.0000 0.0000

=====

Entry 6:
Below is an optimized crystal structure of In3PtO, with properties calculated at the GGA-PBE level.

* symmetry: Pm-3m, No. 221
* ρ: 6.85 g cm⁻³
* uncorrected energy: -3.84 eV per atom
* E above lowest polymorph: 175.6 meV per atom

Cell lengths 5.1263, 5.1263, 5.1263 Å; angles 90.00, 90.00, 90.00 degrees
Positions (direct):
In1 0.5000 0.0000 0.0000
In2 0.0000 0.5000 0.0000
In3 0.0000 0.0000 0.5000
Pt1 0.0000 0.0000 0.0000
O1 0.5000 0.5000 0.5000

=====

Entry 7:
Below is an optimized crystal structure of In3PtO, with properties calculated at the GGA-PBE level.

* symmetry: Pm-3m, No. 221
* ρ: 9.24 g cm⁻³
* uncorrected energy: -4.02 eV per atom
* E above lowest polymorph: 0.0 meV per atom

Cell lengths 4.6397, 4.6397, 4.6397 Å; angles 90.00, 90.00, 90.00 degrees
Positions (direct):
In1 0.0000 0.5000 0.0000
In2 0.0000 0.0000 0.5000
In3 0.5000 0.0000 0.0000
O1 0.0000 0.0000 0.0000
Pt1 0.5000 0.5000 0.5000

=====

Entry 8:
Below is an optimized crystal structure of InPt2O, with properties calculated at the GGA-PBE level.

* symmetry: I-42d, No. 122
* ρ: 10.52 g cm⁻³
* uncorrected energy: -5.00 eV per atom
* E above lowest polymorph: 0.0 meV per atom

Cell lengths 5.1385, 5.1385, 7.2126 Å; angles 69.13, 69.13, 90.00 degrees
Positions (direct):
O1 0.5000 0.5000 0.0000
O2 0.2500 0.7500 0.5000
Pt1 0.4159 0.1250 0.2500
Pt2 0.3750 0.5841 0.7500
Pt3 0.3341 0.6250 0.2500
Pt4 0.8750 0.6659 0.7500
In1 0.0000 0.0000 0.0000
In2 0.7500 0.2500 0.5000